! Nb5Ir4Au PBE-GGA relaxed; values from VASP
&SYSTEM
  ibrav = 0, nat = 10, ntyp = 3
/
ATOMIC_SPECIES
Nb 92.91 Nb.upf
Ir 192.22 Ir.upf
Au 196.97 Au.upf
CELL_PARAMETERS angstrom
-1.749 1.765 1.428
-0.503 -2.059 1.929
15.501 6.488 10.969
ATOMIC_POSITIONS angstrom
Nb 9.656 4.365 9.308
Nb 12.653 5.620 11.429
Nb 6.624 3.097 7.163
Nb 0.595 0.573 2.896
Nb 3.593 1.828 5.018
Ir 9.256 3.874 6.550
Ir 6.245 2.614 4.419
Ir 3.189 1.335 2.257
Ir 12.312 5.153 8.712
Au 0.000 0.000 0.000
! Formation energy from the elements   -0.437 eV per atom
! Final energy   -9.3441 eV per atom
! Symmetry   P4/mmm (123)



! NbIr3Au PBE-GGA relaxed; values from VASP
&SYSTEM
  ibrav = 0, nat = 5, ntyp = 3
/
ATOMIC_SPECIES
Ir 192.22 Ir.upf
Au 196.97 Au.upf
Nb 92.91 Nb.upf
CELL_PARAMETERS angstrom
4.772 0.000 0.000
0.000 4.772 0.000
0.000 0.000 4.772
ATOMIC_POSITIONS angstrom
Ir 0.000 2.386 0.000
Ir 0.000 0.000 2.386
Ir 2.386 0.000 0.000
Au 0.000 0.000 0.000
Nb 2.386 2.386 2.386
! Energy above the lowest structure with this stoichiometry   0.6353 eV/atom
! Formation energy from the elements   2.221 eV per atom
! Final energy   -5.7648 eV per atom
! Symmetry   Pm-3m (221)



! Nb3IrAu PBE-GGA relaxed; values from VASP
&SYSTEM
  ibrav = 0, nat = 5, ntyp = 3
/
ATOMIC_SPECIES
Nb 92.91 Nb.upf
Au 196.97 Au.upf
Ir 192.22 Ir.upf
CELL_PARAMETERS angstrom
4.866 0.000 0.000
0.000 4.866 0.000
0.000 0.000 4.866
ATOMIC_POSITIONS angstrom
Nb 2.433 0.000 0.000
Nb 0.000 2.433 0.000
Nb 0.000 0.000 2.433
Au 0.000 0.000 0.000
Ir 2.433 2.433 2.433
! Energy above the lowest structure with this stoichiometry   0.9318 eV/atom
! Formation energy from the elements   1.807 eV per atom
! Final energy   -6.6630 eV per atom
! Symmetry   Pm-3m (221)



! Nb2Ir2Au PBE-GGA relaxed; values from VASP
&SYSTEM
  ibrav = 0, nat = 10, ntyp = 3
/
ATOMIC_SPECIES
Nb 92.91 Nb.upf
Ir 192.22 Ir.upf
Au 196.97 Au.upf
CELL_PARAMETERS angstrom
7.871 0.000 0.000
0.000 7.871 0.000
0.000 0.000 2.848
ATOMIC_POSITIONS angstrom
Nb 2.726 6.661 0.000
Nb 5.144 1.209 0.000
Nb 1.209 2.726 0.000
Nb 6.661 5.144 0.000
Ir 1.082 5.017 1.424
Ir 2.853 1.082 1.424
Ir 6.788 2.853 1.424
Ir 5.017 6.788 1.424
Au 0.000 0.000 0.000
Au 3.935 3.935 0.000
! Energy above the lowest structure with this stoichiometry   0.1564 eV/atom
! Formation energy from the elements   -0.213 eV per atom
! Final energy   -8.4404 eV per atom
! Symmetry   P4/mbm (127)



! NbIrAu2 PBE-GGA relaxed; values from VASP
&SYSTEM
  ibrav = 0, nat = 4, ntyp = 3
/
ATOMIC_SPECIES
Ir 192.22 Ir.upf
Au 196.97 Au.upf
Nb 92.91 Nb.upf
CELL_PARAMETERS angstrom
0.000 3.240 3.240
3.240 0.000 3.240
3.240 3.240 0.000
ATOMIC_POSITIONS angstrom
Ir 3.240 3.240 3.240
Au 4.860 4.860 4.860
Au 1.620 1.620 1.620
Nb 0.000 0.000 0.000
! Energy above the lowest structure with this stoichiometry   0.0000 eV/atom
! Formation energy from the elements   0.140 eV per atom
! Final energy   -6.2316 eV per atom
! Symmetry   Fm-3m (225)



! NbIrAu2 PBE-GGA relaxed; values from VASP
&SYSTEM
  ibrav = 0, nat = 8, ntyp = 3
/
ATOMIC_SPECIES
Ir 192.22 Ir.upf
Au 196.97 Au.upf
Nb 92.91 Nb.upf
CELL_PARAMETERS angstrom
-4.552 5.511 -2.214
-2.358 -4.237 -5.699
-5.394 -0.349 -2.422
ATOMIC_POSITIONS angstrom
Ir 0.000 0.000 0.000
Ir -6.701 2.900 -4.296
Au -10.102 0.836 -8.763
Au -6.628 0.233 -4.761
Au -3.373 -2.069 -4.435
Au -4.507 2.850 -2.710
Nb -3.455 0.637 -3.956
Nb -5.604 -1.974 -6.039
! Energy above the lowest structure with this stoichiometry   0.3520 eV/atom
! Formation energy from the elements   0.492 eV per atom
! Final energy   -5.8796 eV per atom
! Symmetry   I-42d (122)



! NbIrAu3 PBE-GGA relaxed; values from VASP
&SYSTEM
  ibrav = 0, nat = 5, ntyp = 3
/
ATOMIC_SPECIES
Au 196.97 Au.upf
Ir 192.22 Ir.upf
Nb 92.91 Nb.upf
CELL_PARAMETERS angstrom
-0.935 4.766 1.080
-1.141 -1.282 4.670
4.752 0.630 1.334
ATOMIC_POSITIONS angstrom
Au -0.571 -0.641 2.335
Au -0.468 2.383 0.540
Au 2.376 0.315 0.667
Ir 0.000 0.000 0.000
Nb 1.338 2.057 3.542
! Energy above the lowest structure with this stoichiometry   0.0000 eV/atom
! Formation energy from the elements   1.372 eV per atom
! Final energy   -4.3810 eV per atom
! Symmetry   Pm-3m (221)



! NbIr3Au PBE-GGA relaxed; values from VASP
&SYSTEM
  ibrav = 0, nat = 5, ntyp = 3
/
ATOMIC_SPECIES
Ir 192.22 Ir.upf
Au 196.97 Au.upf
Nb 92.91 Nb.upf
CELL_PARAMETERS angstrom
4.756 0.000 0.000
0.000 4.756 0.000
0.000 0.000 4.756
ATOMIC_POSITIONS angstrom
Ir 0.000 2.378 0.000
Ir 2.378 0.000 0.000
Ir 0.000 0.000 2.378
Au 2.378 2.378 2.378
Nb 0.000 0.000 0.000
! Energy above the lowest structure with this stoichiometry   0.0000 eV/atom
! Formation energy from the elements   1.586 eV per atom
! Final energy   -6.4001 eV per atom
! Symmetry   Pm-3m (221)



! NbIrAu3 PBE-GGA relaxed; values from VASP
&SYSTEM
  ibrav = 0, nat = 5, ntyp = 3
/
ATOMIC_SPECIES
Ir 192.22 Ir.upf
Au 196.97 Au.upf
Nb 92.91 Nb.upf
CELL_PARAMETERS angstrom
-2.570 -4.305 -0.246
4.282 -2.513 -0.743
0.514 -0.590 4.958
ATOMIC_POSITIONS angstrom
Ir 1.113 -3.704 1.985
Au 0.257 -0.295 2.479
Au -1.285 -2.153 -0.123
Au 2.141 -1.257 -0.371
Nb 0.000 0.000 0.000
! Energy above the lowest structure with this stoichiometry   0.4348 eV/atom
! Formation energy from the elements   1.806 eV per atom
! Final energy   -3.9463 eV per atom
! Symmetry   Pm-3m (221)



! NbIr2Au PBE-GGA relaxed; values from VASP
&SYSTEM
  ibrav = 0, nat = 8, ntyp = 3
/
ATOMIC_SPECIES
Ir 192.22 Ir.upf
Au 196.97 Au.upf
Nb 92.91 Nb.upf
CELL_PARAMETERS angstrom
-5.632 -2.658 -3.608
0.092 -5.862 4.175
-4.507 -3.012 2.075
ATOMIC_POSITIONS angstrom
Ir -8.231 -9.542 1.929
Ir -1.939 -4.828 2.571
Ir -4.469 -3.069 -1.108
Ir -5.455 -5.627 1.892
Au -6.455 -4.965 -0.625
Au 0.000 0.000 0.000
Nb -3.592 -6.567 3.267
Nb -2.770 -4.260 0.283
! Energy above the lowest structure with this stoichiometry   0.4460 eV/atom
! Formation energy from the elements   0.237 eV per atom
! Final energy   -7.5303 eV per atom
! Symmetry   I-42d (122)



! NbIr2Au PBE-GGA relaxed; values from VASP
&SYSTEM
  ibrav = 0, nat = 4, ntyp = 3
/
ATOMIC_SPECIES
Ir 192.22 Ir.upf
Au 196.97 Au.upf
Nb 92.91 Nb.upf
CELL_PARAMETERS angstrom
3.840 0.000 0.000
0.000 4.079 0.000
0.000 0.000 4.079
ATOMIC_POSITIONS angstrom
Ir 0.000 2.039 0.000
Ir 0.000 0.000 2.039
Au 1.920 0.000 0.000
Nb 1.920 2.039 2.039
! Energy above the lowest structure with this stoichiometry   0.0000 eV/atom
! Formation energy from the elements   -0.209 eV per atom
! Final energy   -7.9763 eV per atom
! Symmetry   P4/mmm (123)



! NbIr2Au PBE-GGA relaxed; values from VASP
&SYSTEM
  ibrav = 0, nat = 4, ntyp = 3
/
ATOMIC_SPECIES
Ir 192.22 Ir.upf
Nb 92.91 Nb.upf
Au 196.97 Au.upf
CELL_PARAMETERS angstrom
2.322 -3.278 2.064
-2.185 -3.487 1.861
0.275 -4.099 -1.877
ATOMIC_POSITIONS angstrom
Ir 0.103 -2.716 0.512
Ir 0.309 -8.148 1.537
Nb 0.000 0.000 0.000
Au 0.206 -5.432 1.025
! Energy above the lowest structure with this stoichiometry   0.1282 eV/atom
! Formation energy from the elements   -0.081 eV per atom
! Final energy   -7.8481 eV per atom
! Symmetry   Fm-3m (225)



! NbP2IrAu PBE-GGA relaxed; values from VASP
&SYSTEM
  ibrav = 0, nat = 5, ntyp = 4
/
ATOMIC_SPECIES
Nb 92.91 Nb.upf
Ir 192.22 Ir.upf
P 30.97 P.upf
Au 196.97 Au.upf
CELL_PARAMETERS angstrom
4.552 0.000 0.000
0.000 5.163 0.000
0.000 0.000 4.552
ATOMIC_POSITIONS angstrom
Nb 0.000 2.582 0.000
Ir 2.276 2.582 2.276
P 0.000 0.000 2.276
P 2.276 0.000 0.000
Au 0.000 0.000 0.000
! Formation energy from the elements   1.730 eV per atom
! Final energy   -4.8753 eV per atom
! Symmetry   P4/mmm (123)



! NbPIrAu2 PBE-GGA relaxed; values from VASP
&SYSTEM
  ibrav = 0, nat = 5, ntyp = 4
/
ATOMIC_SPECIES
Nb 92.91 Nb.upf
Ir 192.22 Ir.upf
P 30.97 P.upf
Au 196.97 Au.upf
CELL_PARAMETERS angstrom
-4.007 2.933 0.998
-2.193 -3.628 1.858
1.959 1.135 4.531
ATOMIC_POSITIONS angstrom
Nb 0.000 0.000 0.000
Ir -2.120 0.220 3.693
P -1.097 -1.814 0.929
Au -2.003 1.467 0.499
Au 0.980 0.567 2.265
! Formation energy from the elements   1.514 eV per atom
! Final energy   -4.6651 eV per atom
! Symmetry   P4/mmm (123)



! NbIrAu2Se PBE-GGA relaxed; values from VASP
&SYSTEM
  ibrav = 0, nat = 5, ntyp = 4
/
ATOMIC_SPECIES
Au 196.97 Au.upf
Nb 92.91 Nb.upf
Se 78.96 Se.upf
Ir 192.22 Ir.upf
CELL_PARAMETERS angstrom
-1.651 -0.715 4.811
1.491 -4.264 -0.122
4.559 1.543 1.794
ATOMIC_POSITIONS angstrom
Au -0.825 -0.358 2.406
Au 2.280 0.771 0.897
Nb 2.200 -1.718 3.241
Se 0.746 -2.132 -0.061
Ir 0.000 0.000 0.000
! ΔE_f (raw)   1.039 eV/atom
! Final energy   -4.7547 eV per atom
! Symmetry   P4/mmm (123)



! NbTeIrAu2 PBE-GGA relaxed; values from VASP
&SYSTEM
  ibrav = 0, nat = 5, ntyp = 4
/
ATOMIC_SPECIES
Te 127.60 Te.upf
Nb 92.91 Nb.upf
Au 196.97 Au.upf
Ir 192.22 Ir.upf
CELL_PARAMETERS angstrom
5.084 0.000 0.000
0.000 4.906 0.000
0.000 0.000 5.084
ATOMIC_POSITIONS angstrom
Te 0.000 2.453 0.000
Nb 2.542 2.453 2.542
Au 2.542 0.000 0.000
Au 0.000 0.000 2.542
Ir 0.000 0.000 0.000
! ΔE_f (raw)   1.087 eV/atom
! Final energy   -4.6388 eV per atom
! Symmetry   P4/mmm (123)



! Zr2NbIrAu PBE-GGA relaxed; values from VASP
&SYSTEM
  ibrav = 0, nat = 5, ntyp = 4
/
ATOMIC_SPECIES
Ir 192.22 Ir.upf
Zr 91.22 Zr.upf
Nb 92.91 Nb.upf
Au 196.97 Au.upf
CELL_PARAMETERS angstrom
-4.254 2.230 1.719
-2.443 -3.827 -1.081
0.893 -1.885 4.656
ATOMIC_POSITIONS angstrom
Ir -1.222 -1.914 -0.541
Zr -2.127 1.115 0.860
Zr 0.447 -0.943 2.328
Nb 0.000 0.000 0.000
Au -2.902 -1.741 2.647
! Formation energy from the elements   0.884 eV per atom
! Final energy   -6.9768 eV per atom
! Symmetry   P4/mmm (123)



! Nd6IrAu2 PBE-GGA relaxed; values from VASP
&SYSTEM
  ibrav = 0, nat = 18, ntyp = 3
/
ATOMIC_SPECIES
Nd 144.24 Nd.upf
Ir 192.22 Ir.upf
Au 196.97 Au.upf
CELL_PARAMETERS angstrom
6.963 0.000 0.069
0.000 7.570 0.000
-0.767 0.000 10.581
ATOMIC_POSITIONS angstrom
Nd 2.212 6.204 0.760
Nd 1.919 6.123 4.635
Nd 4.277 1.447 6.015
Nd 5.755 7.311 2.654
Nd 1.179 2.338 0.690
Nd 4.305 3.526 2.741
Nd 1.891 4.044 7.910
Nd 5.310 5.151 6.086
Nd 0.441 0.259 7.997
Nd 5.017 5.232 9.960
Nd 0.886 2.419 4.565
Nd 3.984 1.366 9.890
Ir 3.481 3.785 0.035
Ir -0.383 0.000 5.291
Au 0.203 4.604 2.463
Au 2.896 0.819 2.862
Au 5.994 2.966 8.187
Au 3.301 6.751 7.788
! Formation energy from the elements   -0.505 eV per atom
! Final energy   -5.3968 eV per atom
! Symmetry   P2_1/c (14)



! Nd6Ir3Au PBE-GGA relaxed; values from VASP
&SYSTEM
  ibrav = 0, nat = 20, ntyp = 3
/
ATOMIC_SPECIES
Nd 144.24 Nd.upf
Ir 192.22 Ir.upf
Au 196.97 Au.upf
CELL_PARAMETERS angstrom
-2.941 1.474 -6.542
8.021 -1.485 -3.940
-4.042 -8.107 -0.009
ATOMIC_POSITIONS angstrom
Nd 4.908 -2.845 -3.773
Nd -3.064 -5.677 -4.925
Nd -4.675 -7.635 -1.794
Nd -0.640 -7.635 -3.221
Nd 5.622 -0.438 -8.899
Nd 2.488 -5.955 -3.872
Nd 1.160 -2.754 -2.554
Nd 0.335 -5.593 -6.921
Nd 1.864 -0.576 -6.855
Nd 3.263 -3.948 -8.244
Nd -0.993 -2.392 -5.603
Nd -2.039 -4.263 -1.833
Ir -0.937 -7.127 -9.146
Ir -3.453 -1.059 -6.647
Ir 3.190 -6.406 -6.740
Ir 0.673 -0.338 -4.241
Ir 0.586 -2.820 -8.186
Ir -0.366 -4.887 -4.126
Au -4.944 -5.531 -7.173
Au 4.545 -1.867 -6.515
! Energy above the lowest structure with this stoichiometry   0.0628 eV/atom
! Formation energy from the elements   -0.549 eV per atom
! Final energy   -6.3959 eV per atom
! Symmetry   Cmc2_1 (36)



! Nd8IrAu2 PBE-GGA relaxed; values from VASP
&SYSTEM
  ibrav = 0, nat = 11, ntyp = 3
/
ATOMIC_SPECIES
Au 196.97 Au.upf
Nd 144.24 Nd.upf
Ir 192.22 Ir.upf
CELL_PARAMETERS angstrom
-5.999 -0.584 2.012
4.185 -7.567 2.971
2.132 8.749 1.583
ATOMIC_POSITIONS angstrom
Au 0.012 3.927 2.865
Au 0.918 -3.270 3.478
Nd 2.518 2.530 3.963
Nd -3.536 4.996 3.733
Nd -1.780 -2.085 2.850
Nd -2.298 2.027 2.500
Nd 2.979 -1.137 4.275
Nd 1.121 0.246 1.233
Nd -2.275 -5.020 4.585
Nd -0.242 0.374 4.749
Ir -1.611 -0.138 0.760
! Energy above the lowest structure with this stoichiometry   0.0665 eV/atom
! Formation energy from the elements   -0.349 eV per atom
! Final energy   -5.2178 eV per atom
! Symmetry   Cm (8)